(1)
The following is a DFT calculation (PBE) of an optimized crystal structure of Rb6Au2SI.

Lattice parameters (Å, degrees): 8.728 9.255 15.022 90.00 123.06 90.00
Element x y z (fractional)
Rb1 0.081 0.074 0.231
Rb2 0.081 0.426 0.731
Rb3 0.252 0.713 0.087
Rb4 0.252 0.787 0.587
Rb5 0.361 0.171 0.067
Rb6 0.361 0.329 0.567
Rb7 0.639 0.671 0.433
Rb8 0.639 0.829 0.933
Rb9 0.748 0.213 0.413
Rb10 0.748 0.287 0.913
Rb11 0.919 0.574 0.269
Rb12 0.919 0.926 0.769
Au1 0.294 0.080 0.760
Au2 0.294 0.420 0.260
Au3 0.706 0.580 0.740
Au4 0.706 0.920 0.240
S1 0.000 0.000 0.000
S2 0.000 0.500 0.500
I1 0.500 0.000 0.500
I2 0.500 0.500 0.000

Computed properties:
uncorrected formation energy = -659 meV/atom
space group = P2_1/c, No. 14
crystal system = monoclinic
size of the total moment = 0.000 μB/atom

(2)
The following is a DFT calculation (PBE) of an optimized crystal structure of HfSc3Br.

Lattice parameters (Å, degrees): 4.976 4.976 4.976 90.00 90.00 90.00
Element x y z (fractional)
Hf1 0.000 0.000 0.000
Sc1 0.000 0.500 0.500
Sc2 0.500 0.000 0.500
Sc3 0.500 0.500 0.000
Br1 0.500 0.500 0.500

Computed properties:
uncorrected formation energy = 64 meV/atom
space group = Pm-3m, No. 221
crystal system = cubic
size of the total moment = 0.000 μB/atom

- The lowest uncorrected formation energy belongs to which entry?
  Rb6Au2SI